The following is a PBE calculation of a geometry-optimized LiCdRe2 structure, from the Alexandria database.

* spin magnetization: 0.000 μB per atom
* final energy: -25.84 eV for the cell shown
* calculated formation energy: 45.5 kJ/mol of atoms

Unit cell a=4.6588 b=3.6699 c=3.6699 alpha=90.00 beta=90.00 gamma=90.00
Closest atoms and distances in Å follow each position.
Element x y z (fractional)
Cd  0.5000  0.5000  0.0000  4 Li 2.60
Li  0.5000  0.0000  0.5000  4 Cd 2.60
Re  0.0000  0.5000  0.5000  4 Re 2.60
Re  0.0000  0.0000  0.0000  4 Re 2.60